# ZnSnP | Alexandria via LeMat-Bulk | PBE | relaxed
# ρ, g cm⁻³: 5.662
# Space-group type: Pmmn, No. 59
# Electronic total energy, eV per cell: -40.82
# Distance to the lowest polymorph of the same formula, eV per formula unit: 0.429
data_ZnSnP
_space_group_name_H-M_alt 'P 1'
_space_group_IT_number 1
_space_group_name_Hall 'P 1'
_cell_length_a 3.863
_cell_length_b 7.459
_cell_length_c 8.756
_cell_angle_alpha 90.00
_cell_angle_beta 90.00
_cell_angle_gamma 90.00
loop_
_atom_site_label
_atom_site_type_symbol
_atom_site_fract_x
_atom_site_fract_y
_atom_site_fract_z
_atom_site_occupancy
Sn1 Sn 0.000 0.722 0.252 1
P1 P 0.000 0.000 0.553 1
Zn1 Zn 0.000 0.500 0.605 1
Zn2 Zn 0.500 0.500 0.051 1
P2 P 0.000 0.500 0.883 1
P3 P 0.500 0.000 0.117 1
Zn3 Zn 0.000 0.000 0.949 1
Sn2 Sn 0.500 0.778 0.748 1
Sn3 Sn 0.500 0.222 0.748 1
Sn4 Sn 0.000 0.278 0.252 1
Zn4 Zn 0.500 0.000 0.395 1
P4 P 0.500 0.500 0.447 1

***

# K2Tl4HgAu3 | Alexandria via LeMat-Bulk | PBE | relaxed
# ρ, g cm⁻³: 9.163
# Space-group type: P-4m2, No. 115
# Electronic total energy, eV per cell: -23.44
data_K2Tl4HgAu3
_space_group_name_H-M_alt 'P 1'
_space_group_IT_number 1
_space_group_name_Hall 'P 1'
_cell_length_a 5.395
_cell_length_b 5.395
_cell_length_c 10.505
_cell_angle_alpha 90.00
_cell_angle_beta 90.00
_cell_angle_gamma 90.00
loop_
_atom_site_label
_atom_site_type_symbol
_atom_site_fract_x
_atom_site_fract_y
_atom_site_fract_z
_atom_site_occupancy
Au1 Au 0.500 0.000 0.894 1
Tl1 Tl 0.500 0.000 0.624 1
K1 K 0.500 0.000 0.258 1
Au2 Au 0.000 0.000 0.500 1
Tl2 Tl 0.000 0.000 0.000 1
Au3 Au 0.000 0.500 0.106 1
K2 K 0.000 0.500 0.742 1
Tl3 Tl 0.000 0.500 0.376 1
Tl4 Tl 0.500 0.500 0.000 1
Hg1 Hg 0.500 0.500 0.500 1

***

# Zn2As2Ir | Alexandria via LeMat-Bulk | PBE | relaxed
# ρ, g cm⁻³: 8.554
# Space-group type: I4/mmm, No. 139
# Electronic total energy, eV per cell: -18.55
# Distance to the lowest polymorph of the same formula, eV per formula unit: 1.453
data_Zn2As2Ir
_space_group_name_H-M_alt 'P 1'
_space_group_IT_number 1
_space_group_name_Hall 'P 1'
_cell_length_a 3.452
_cell_length_b 3.452
_cell_length_c 8.082
_cell_angle_alpha 77.67
_cell_angle_beta 77.67
_cell_angle_gamma 90.00
loop_
_atom_site_label
_atom_site_type_symbol
_atom_site_fract_x
_atom_site_fract_y
_atom_site_fract_z
_atom_site_occupancy
Zn1 Zn 0.418 0.418 0.164 1
Zn2 Zn 0.582 0.582 0.836 1
Ir1 Ir 0.000 0.000 0.000 1
As1 As 0.250 0.750 0.500 1
As2 As 0.750 0.250 0.500 1

***

# BaHg2Ir | Alexandria via LeMat-Bulk | PBE | relaxed
# ρ, g cm⁻³: 12.065
# Space-group type: P4/mmm, No. 123
# Electronic total energy, eV per cell: -10.63
data_BaHg2Ir
_space_group_name_H-M_alt 'P 1'
_space_group_IT_number 1
_space_group_name_Hall 'P 1'
_cell_length_a 3.708
_cell_length_b 3.708
_cell_length_c 7.314
_cell_angle_alpha 90.00
_cell_angle_beta 90.00
_cell_angle_gamma 90.00
loop_
_atom_site_label
_atom_site_type_symbol
_atom_site_fract_x
_atom_site_fract_y
_atom_site_fract_z
_atom_site_occupancy
Ba1 Ba 0.500 0.500 0.750 1
Ir1 Ir 0.500 0.500 0.250 1
Hg1 Hg 0.000 0.000 0.444 1
Hg2 Hg 0.000 0.000 0.056 1

***

Question: Which of these has the highest electronic total energy?
Answer: BaHg2Ir